Record 1
This record from the Alexandria database describes GaNi7As2H2 after structural relaxation. The functional is PBE.

Summary:
* V: 10.6 Å³/atom
* total energy: -5.168 eV/atom
* SG: C2/m, No. 12

Lattice parameters (Å, degrees): 3.621 3.621 10.006 100.32 100.32 90.03
Positions (direct):
Ga: 0.000 0.000 0.000
Ni: 0.096 0.596 0.192
Ni: 0.308 0.308 0.616
Ni: 0.404 0.904 0.808
Ni: 0.500 0.500 0.000
Ni: 0.596 0.096 0.192
Ni: 0.692 0.692 0.384
Ni: 0.904 0.404 0.808
As: 0.186 0.186 0.373
As: 0.814 0.814 0.627
H: 0.411 0.411 0.821
H: 0.589 0.589 0.179

Record 2
This record from the Alexandria database describes ScTcTe4 after structural relaxation. The functional is PBE.

Summary:
* V: 28.0 Å³/atom
* formation energy (no corrections): 0.88 eV/atom
* SG: F-43m, No. 216

Lattice parameters (Å, degrees): 6.197 6.197 6.197 60.00 60.00 60.00
Positions (direct):
Sc: 0.000 0.000 0.000
Tc: 0.750 0.750 0.750
Te: 0.375 0.375 0.375
Te: 0.375 0.375 0.874
Te: 0.375 0.874 0.375
Te: 0.874 0.375 0.375

Record 3
This record from the Alexandria database describes MoIrPt after structural relaxation. The functional is PBE.

Summary:
* V: 18.0 Å³/atom
* formation enthalpy at 0 K: 0.2203 eV/atom
* polymorph energy (0 for the lowest one): 0.523 eV/atom
* SG: I-4m2, No. 119

Lattice parameters (Å, degrees): 4.195 4.195 4.195 117.35 117.35 94.65
Positions (direct):
Mo: 0.000 0.000 0.000
Ir: 0.250 0.750 0.500
Pt: 0.750 0.250 0.500

Record 4
This record from the Alexandria database describes NaCa2Ge3Au4 after structural relaxation. The functional is PBE.

Summary:
* V: 22.0 Å³/atom
* formation enthalpy at 0 K: -0.4410 eV/atom
* SG: P-4m2, No. 115

Lattice parameters (Å, degrees): 4.430 4.430 11.196 90.00 90.00 90.00
Positions (direct):
Na: 0.000 0.000 0.000
Ca: 0.000 0.500 0.727
Ca: 0.500 0.000 0.273
Ge: 0.000 0.500 0.369
Ge: 0.500 0.000 0.631
Ge: 0.500 0.500 0.000
Au: 0.000 0.000 0.500
Au: 0.000 0.500 0.146
Au: 0.500 0.000 0.854
Au: 0.500 0.500 0.500